Ca2GaAu | PBE | optimized geometry

a b c (Å): 3.6749 3.6749 7.2315
angles (deg): 90.00 90.00 90.00
Closest atoms and distances in Å follow each position.
Fractional coordinates of all 4 atoms:
Ca (0.0000, 0.0000, 0.2474)  4 Au 3.15, 4 Ga 3.18
Ca (0.0000, 0.0000, 0.7526)  4 Au 3.15, 4 Ga 3.18
Ga (0.5000, 0.5000, 0.5000)  8 Ca 3.18
Au (0.5000, 0.5000, 0.0000)  8 Ca 3.15

Properties
- formation enthalpy at 0 K (meV per atom) = -599
- total magnetic moment (μB/f.u.) = 0.0

***

AlNi2Au | PBE | optimized geometry

a b c (Å): 2.8674 2.9680 6.2261
angles (deg): 90.00 90.00 90.00
Closest atoms and distances in Å follow each position.
Fractional coordinates of all 4 atoms:
Al (0.0000, 0.0000, 0.0000)  8 Ni 2.47
Ni (0.5000, 0.5000, 0.2172)  4 Al 2.47, 1 Ni 2.71, 4 Au 2.71
Ni (0.5000, 0.5000, 0.7828)  4 Al 2.47, 1 Ni 2.71, 4 Au 2.71
Au (0.0000, 0.0000, 0.5000)  8 Ni 2.71, 4 Au 2.87-2.97

Properties
- formation enthalpy at 0 K (meV per atom) = -328
- total magnetic moment (μB/f.u.) = 0.0

***

Co2GeSe4 | PBE | optimized geometry

a b c (Å): 7.7489 7.7489 7.7489
angles (deg): 129.68 129.68 73.91
Closest atoms and distances in Å follow each position.
Fractional coordinates of all 14 atoms:
Co (0.0000, 0.0000, 0.0000)  4 Se 2.30-2.34
Co (0.5000, 0.0000, 0.0000)  4 Se 2.30-2.34
Co (0.5000, 0.0000, 0.5000)  4 Se 2.30-2.34
Co (0.5000, 0.5000, 0.5000)  4 Se 2.30-2.34
Ge (0.1250, 0.3750, 0.7500)  4 Se 2.70
Ge (0.8750, 0.6250, 0.2500)  4 Se 2.70
Se (0.1207, 0.3211, 0.1050)  2 Co 2.30-2.34
Se (0.1789, 0.7839, 0.7995)  2 Co 2.30-2.34
Se (0.2839, 0.9843, 0.6050)  2 Co 2.30-2.34
Se (0.4843, 0.3793, 0.7005)  2 Co 2.30-2.34
Se (0.5157, 0.6207, 0.2995)  2 Co 2.30-2.34
Se (0.7161, 0.0157, 0.3950)  2 Co 2.30-2.34
Se (0.8211, 0.2161, 0.2005)  2 Co 2.30-2.34
Se (0.8793, 0.6789, 0.8950)  2 Co 2.30-2.34

Properties
- E_form (uncorrected) (eV per atom) = -0.018
- total magnetic moment (μB/f.u.) = 2.0